No. 1
{"formula": "SmHg3Pd7", "functional": "PBE-GGA", "state": "optimized geometry", "dft_energy_ev_per_atom": -3.980, "e_form_ev_per_atom": -0.164, "rho_g_cm3": 11.40, "cell": [[4.553, -4.771, 0.000], [4.553, 4.771, 0.000], [-2.131, 0.000, 5.019]], "species": ["Sm", "Hg", "Hg", "Hg", "Pd", "Pd", "Pd", "Pd", "Pd", "Pd", "Pd"], "frac_coords": [[0.000, 0.000, 0.000], [0.283, 0.717, 0.500], [0.500, 0.500, 0.000], [0.717, 0.283, 0.500], [0.000, 0.000, 0.500], [0.080, 0.557, 0.815], [0.289, 0.289, 0.463], [0.443, 0.920, 0.185], [0.557, 0.080, 0.815], [0.711, 0.711, 0.537], [0.920, 0.443, 0.185]]}

---

No. 2
{"formula": "Sm2Hg2Pd3", "functional": "PBE-GGA", "state": "optimized geometry", "dft_energy_ev_per_atom": -4.270, "e_form_ev_per_atom": -0.610, "relative_energy_mev_per_atom": 47, "rho_g_cm3": 10.86, "cell": [[8.619, 0.000, 0.000], [0.000, 4.973, 0.000], [-2.886, 0.000, 7.285]], "species": ["Sm", "Sm", "Sm", "Sm", "Hg", "Hg", "Hg", "Hg", "Pd", "Pd", "Pd", "Pd", "Pd", "Pd"], "frac_coords": [[0.108, 0.000, 0.326], [0.392, 0.500, 0.674], [0.608, 0.500, 0.326], [0.892, 0.000, 0.674], [0.130, 0.500, 0.889], [0.370, 0.000, 0.111], [0.630, 0.000, 0.889], [0.870, 0.500, 0.111], [0.000, 0.500, 0.500], [0.243, 0.000, 0.728], [0.257, 0.500, 0.272], [0.500, 0.000, 0.500], [0.743, 0.500, 0.728], [0.757, 0.000, 0.272]]}

---

No. 3
{"formula": "SmHg2Pd5", "functional": "PBE-GGA", "state": "optimized geometry", "dft_energy_ev_per_atom": -4.369, "e_form_ev_per_atom": -0.458, "relative_energy_mev_per_atom": 0, "rho_g_cm3": 12.32, "cell": [[6.023, 0.000, 0.000], [0.000, 6.026, 0.000], [-2.990, 0.000, 8.046]], "species": ["Sm", "Sm", "Hg", "Hg", "Hg", "Hg", "Pd", "Pd", "Pd", "Pd", "Pd", "Pd", "Pd", "Pd", "Pd", "Pd"], "frac_coords": [[0.000, 0.000, 0.000], [0.500, 0.500, 0.000], [0.247, 0.500, 0.494], [0.253, 0.000, 0.506], [0.747, 0.000, 0.494], [0.753, 0.500, 0.506], [0.000, 0.500, 0.000], [0.123, 0.250, 0.746], [0.123, 0.750, 0.746], [0.377, 0.250, 0.254], [0.377, 0.750, 0.254], [0.500, 0.000, 0.000], [0.623, 0.250, 0.746], [0.623, 0.750, 0.746], [0.877, 0.250, 0.254], [0.877, 0.750, 0.254]]}

---

No. 4
{"formula": "Sm3Hg2Pd3", "functional": "PBE-GGA", "state": "optimized geometry", "dft_energy_ev_per_atom": -4.424, "e_form_ev_per_atom": -0.632, "relative_energy_mev_per_atom": 0, "rho_g_cm3": 10.57, "cell": [[3.710, 0.000, 0.000], [0.000, 5.019, 0.000], [0.000, 0.000, 19.765]], "species": ["Sm", "Sm", "Sm", "Sm", "Sm", "Sm", "Hg", "Hg", "Hg", "Hg", "Pd", "Pd", "Pd", "Pd", "Pd", "Pd"], "frac_coords": [[0.000, 0.000, 0.000], [0.000, 0.500, 0.130], [0.000, 0.500, 0.870], [0.500, 0.000, 0.370], [0.500, 0.000, 0.630], [0.500, 0.500, 0.500], [0.000, 0.000, 0.234], [0.000, 0.000, 0.766], [0.500, 0.500, 0.266], [0.500, 0.500, 0.734], [0.000, 0.000, 0.500], [0.000, 0.500, 0.383], [0.000, 0.500, 0.617], [0.500, 0.000, 0.117], [0.500, 0.000, 0.883], [0.500, 0.500, 0.000]]}

---

No. 5
{"formula": "Sm4HgPd", "functional": "PBE-GGA", "state": "optimized geometry", "dft_energy_ev_per_atom": -4.522, "e_form_ev_per_atom": -0.460, "relative_energy_mev_per_atom": 0, "rho_g_cm3": 8.91, "cell": [[0.000, 6.971, 6.971], [6.971, 0.000, 6.971], [6.971, 6.971, 0.000]], "species": ["Sm", "Sm", "Sm", "Sm", "Sm", "Sm", "Sm", "Sm", "Sm", "Sm", "Sm", "Sm", "Sm", "Sm", "Sm", "Sm", "Hg", "Hg", "Hg", "Hg", "Pd", "Pd", "Pd", "Pd"], "frac_coords": [[0.186, 0.186, 0.814], [0.186, 0.814, 0.186], [0.186, 0.814, 0.814], [0.395, 0.395, 0.395], [0.395, 0.395, 0.814], [0.395, 0.814, 0.395], [0.559, 0.559, 0.941], [0.559, 0.941, 0.559], [0.559, 0.941, 0.941], [0.814, 0.186, 0.186], [0.814, 0.186, 0.814], [0.814, 0.395, 0.395], [0.814, 0.814, 0.186], [0.941, 0.559, 0.559], [0.941, 0.559, 0.941], [0.941, 0.941, 0.559], [0.164, 0.164, 0.164], [0.164, 0.164, 0.507], [0.164, 0.507, 0.164], [0.507, 0.164, 0.164], [0.184, 0.605, 0.605], [0.605, 0.184, 0.605], [0.605, 0.605, 0.184], [0.605, 0.605, 0.605]]}

---

No. 6
{"formula": "Sm3Hg3Pd2", "functional": "PBE-GGA", "state": "optimized geometry", "dft_energy_ev_per_atom": -3.846, "e_form_ev_per_atom": -0.665, "rho_g_cm3": 10.81, "cell": [[7.677, 0.000, 0.000], [-3.838, 6.648, 0.000], [0.000, 0.000, 3.811]], "species": ["Sm", "Sm", "Sm", "Hg", "Hg", "Hg", "Pd", "Pd"], "frac_coords": [[0.000, 0.408, 0.000], [0.408, 0.000, 0.000], [0.592, 0.592, 0.000], [0.000, 0.762, 0.500], [0.238, 0.238, 0.500], [0.762, 0.000, 0.500], [0.333, 0.667, 0.500], [0.667, 0.333, 0.500]]}

---

No. 7
{"formula": "SmHgPd", "functional": "PBE-GGA", "state": "optimized geometry", "dft_energy_ev_per_atom": -4.002, "e_form_ev_per_atom": -0.598, "relative_energy_mev_per_atom": 100, "rho_g_cm3": 10.91, "cell": [[4.753, 0.000, 0.000], [-2.377, 4.117, 0.000], [0.000, 0.000, 3.558]], "species": ["Sm", "Hg", "Pd"], "frac_coords": [[0.000, 0.000, 0.000], [0.667, 0.333, 0.500], [0.333, 0.667, 0.500]]}

---

No. 8
{"formula": "Sm6Hg2Pd", "functional": "PBE-GGA", "state": "optimized geometry", "dft_energy_ev_per_atom": -4.099, "e_form_ev_per_atom": -0.309, "rho_g_cm3": 8.79, "cell": [[6.254, 0.000, 0.000], [0.000, 9.360, 0.000], [-5.266, 0.000, 9.097]], "species": ["Sm", "Sm", "Sm", "Sm", "Sm", "Sm", "Sm", "Sm", "Sm", "Sm", "Sm", "Sm", "Hg", "Hg", "Hg", "Hg", "Pd", "Pd"], "frac_coords": [[0.062, 0.181, 0.466], [0.062, 0.319, 0.966], [0.353, 0.676, 0.447], [0.353, 0.824, 0.947], [0.390, 0.030, 0.289], [0.390, 0.470, 0.789], [0.610, 0.530, 0.211], [0.610, 0.970, 0.711], [0.647, 0.176, 0.053], [0.647, 0.324, 0.553], [0.938, 0.681, 0.034], [0.938, 0.819, 0.534], [0.136, 0.107, 0.762], [0.136, 0.393, 0.262], [0.864, 0.607, 0.738], [0.864, 0.893, 0.238], [0.000, 0.000, 0.000], [0.000, 0.500, 0.500]]}